{"formula": "BeRu2Rh", "functional": "PBE-GGA", "state": "optimized geometry", "lattice": [[3.5887, 0.0000, 0.0000], [0.0000, 3.5887, 0.0000], [0.0000, 0.0000, 4.0499]], "species": ["Be", "Ru", "Ru", "Rh"], "frac_coords": [[0.0000, 0.0000, 0.0000], [0.0000, 0.5000, 0.5000], [0.5000, 0.0000, 0.5000], [0.5000, 0.5000, 0.0000]], "e_form_mev_per_atom": 106}



{"formula": "Ce3Pm3TmTe8", "functional": "PBE-GGA", "state": "optimized geometry", "lattice": [[4.4498, 2.5691, 7.3286], [-4.4498, 2.5691, 7.3286], [0.0000, -5.1382, 7.3286]], "species": ["Ce", "Ce", "Ce", "Pm", "Pm", "Pm", "Tm", "Te", "Te", "Te", "Te", "Te", "Te", "Te", "Te"], "frac_coords": [[0.0000, 0.5000, 0.5000], [0.5000, 0.0000, 0.5000], [0.5000, 0.5000, 0.0000], [0.0000, 0.0000, 0.5000], [0.0000, 0.5000, 0.0000], [0.5000, 0.0000, 0.0000], [0.5000, 0.5000, 0.5000], [0.2494, 0.2494, 0.2494], [0.2513, 0.7470, 0.7470], [0.2530, 0.2530, 0.7487], [0.2530, 0.7487, 0.2530], [0.7470, 0.2513, 0.7470], [0.7470, 0.7470, 0.2513], [0.7487, 0.2530, 0.2530], [0.7506, 0.7506, 0.7506]], "e_form_raw_ev_per_atom": -1.408}



{"formula": "YSc2Ta", "functional": "PBE-GGA", "state": "optimized geometry", "lattice": [[4.5659, 0.0000, 0.0000], [0.0000, 4.5659, 0.0000], [0.0000, 0.0000, 4.5153]], "species": ["Y", "Sc", "Sc", "Ta"], "frac_coords": [[0.0000, 0.0000, 0.0000], [0.0000, 0.5000, 0.5000], [0.5000, 0.0000, 0.5000], [0.5000, 0.5000, 0.0000]], "e_form_mev_per_atom": 259, "e_above_lowest_polymorph_ev_per_fu": 0.41}



{"formula": "LaTa2Mo", "functional": "PBE-GGA", "state": "optimized geometry", "lattice": [[3.2713, 0.0000, 0.0000], [0.0000, 3.2713, 0.0000], [0.0000, 0.0000, 7.9903]], "species": ["La", "Ta", "Ta", "Mo"], "frac_coords": [[0.0000, 0.0000, 0.0000], [0.5000, 0.5000, 0.3138], [0.5000, 0.5000, 0.6862], [0.0000, 0.0000, 0.5000]], "e_form_mev_per_atom": 206, "e_above_lowest_polymorph_ev_per_fu": 0.00}



{"formula": "TlOs2Ru2", "functional": "PBE-GGA", "state": "optimized geometry", "lattice": [[-1.8198, 1.8198, 6.4670], [1.8198, -1.8198, 6.4670], [1.8198, 1.8198, -6.4670]], "species": ["Tl", "Os", "Os", "Ru", "Ru"], "frac_coords": [[0.0000, 0.0000, 0.0000], [0.2500, 0.7500, 0.5000], [0.7500, 0.2500, 0.5000], [0.3962, 0.3962, 0.0000], [0.6038, 0.6038, 0.0000]], "e_form_mev_per_atom": 637, "e_above_lowest_polymorph_ev_per_fu": 0.17}



{"formula": "KCd2Ir", "functional": "PBE-GGA", "state": "optimized geometry", "lattice": [[3.1318, 0.0000, 0.0000], [0.0000, 3.1318, 0.0000], [0.0000, 0.0000, 9.5020]], "species": ["K", "Cd", "Cd", "Ir"], "frac_coords": [[0.0000, 0.0000, 0.0000], [0.0000, 0.0000, 0.5646], [0.5000, 0.5000, 0.3197], [0.5000, 0.5000, 0.7420]], "e_form_mev_per_atom": 383, "e_above_lowest_polymorph_ev_per_fu": 0.85}



{"formula": "CrTc2Ru", "functional": "PBE-GGA", "state": "optimized geometry", "lattice": [[-1.4889, 2.1641, 4.3073], [1.4889, -2.1641, 4.3073], [1.4889, 2.1641, -4.3073]], "species": ["Cr", "Tc", "Tc", "Ru"], "frac_coords": [[0.0000, 0.0000, 0.0000], [0.2259, 0.7259, 0.5000], [0.7741, 0.2741, 0.5000], [0.5000, 0.5000, 0.0000]], "e_form_mev_per_atom": 174, "e_above_lowest_polymorph_ev_per_fu": 0.27}



{"formula": "LaNd3", "functional": "PBE-GGA", "state": "optimized geometry", "lattice": [[-2.6090, 2.6090, 5.2624], [2.6090, -2.6090, 5.2624], [2.6090, 2.6090, -5.2624]], "species": ["La", "Nd", "Nd", "Nd"], "frac_coords": [[0.0000, 0.0000, 0.0000], [0.2500, 0.7500, 0.5000], [0.5000, 0.5000, 0.0000], [0.7500, 0.2500, 0.5000]], "e_form_mev_per_atom": 16, "e_above_lowest_polymorph_ev_per_fu": 0.01}



{"formula": "NaIn12Cu4", "functional": "PBE-GGA", "state": "optimized geometry", "lattice": [[-4.7613, 4.7613, 4.7613], [4.7613, -4.7613, 4.7613], [4.7613, 4.7613, -4.7613]], "species": ["Na", "In", "In", "In", "In", "In", "In", "In", "In", "In", "In", "In", "In", "Cu", "Cu", "Cu", "Cu"], "frac_coords": [[0.0000, 0.0000, 0.0000], [0.1640, 0.3333, 0.4973], [0.1640, 0.6667, 0.8307], [0.1693, 0.8360, 0.3333], [0.3333, 0.1693, 0.8360], [0.3333, 0.4973, 0.1640], [0.4973, 0.1640, 0.3333], [0.5027, 0.8360, 0.6667], [0.6667, 0.5027, 0.8360], [0.6667, 0.8307, 0.1640], [0.8307, 0.1640, 0.6667], [0.8360, 0.3333, 0.1693], [0.8360, 0.6667, 0.5027], [0.0000, 0.0000, 0.5000], [0.0000, 0.5000, 0.0000], [0.5000, 0.0000, 0.0000], [0.5000, 0.5000, 0.5000]], "e_form_mev_per_atom": 85}



{"formula": "MgTe5Pb4", "functional": "PBE-GGA", "state": "optimized geometry", "lattice": [[-2.2933, 2.2933, 16.0399], [2.2933, -2.2933, 16.0399], [2.2933, 2.2933, -16.0399]], "species": ["Mg", "Te", "Te", "Te", "Te", "Te", "Pb", "Pb", "Pb", "Pb"], "frac_coords": [[0.0000, 0.0000, 0.0000], [0.0925, 0.0925, 0.0000], [0.2994, 0.2994, 0.0000], [0.5000, 0.5000, 0.0000], [0.7006, 0.7006, 0.0000], [0.9075, 0.9075, 0.0000], [0.1984, 0.1984, 0.0000], [0.4024, 0.4024, 0.0000], [0.5976, 0.5976, 0.0000], [0.8016, 0.8016, 0.0000]], "e_form_raw_ev_per_atom": -0.463}



{"formula": "Cs2SnAu", "functional": "PBE-GGA", "state": "optimized geometry", "lattice": [[2.0933, 1.2086, 12.5494], [-2.0933, 1.2086, 12.5494], [0.0000, -2.4172, 12.5494]], "species": ["Cs", "Cs", "Sn", "Au"], "frac_coords": [[0.1007, 0.1007, 0.1007], [0.8993, 0.8993, 0.8993], [0.0000, 0.0000, 0.0000], [0.5000, 0.5000, 0.5000]], "e_form_mev_per_atom": 175, "e_above_lowest_polymorph_ev_per_fu": 1.74}



{"formula": "LiSb2Br", "functional": "PBE-GGA", "state": "optimized geometry", "lattice": [[1.7529, 1.0121, 9.2200], [-1.7529, 1.0121, 9.2200], [0.0000, -2.0241, 9.2200]], "species": ["Li", "Sb", "Sb", "Br"], "frac_coords": [[0.0000, 0.0000, 0.0000], [0.2558, 0.2558, 0.2558], [0.7442, 0.7442, 0.7442], [0.5000, 0.5000, 0.5000]], "e_form_raw_ev_per_atom": 0.028, "e_above_lowest_polymorph_ev_per_fu": 2.86}



{"formula": "Hf2AuSeCl", "functional": "PBE-GGA", "state": "optimized geometry", "lattice": [[5.2071, 0.0000, 0.0000], [0.0000, 5.2071, 0.0000], [0.0000, 0.0000, 5.1333]], "species": ["Hf", "Hf", "Au", "Se", "Cl"], "frac_coords": [[0.0000, 0.5000, 0.0000], [0.5000, 0.0000, 0.0000], [0.0000, 0.0000, 0.0000], [0.0000, 0.0000, 0.5000], [0.5000, 0.5000, 0.5000]], "e_form_raw_ev_per_atom": 0.640}



{"formula": "LiCd2Ag", "functional": "PBE-GGA", "state": "optimized geometry", "lattice": [[4.8997, -1.4740, 0.0000], [4.8997, 1.4740, 0.0000], [-0.6739, 0.0000, 5.3188]], "species": ["Li", "Cd", "Cd", "Ag"], "frac_coords": [[0.0000, 0.0000, 0.0000], [0.5043, 0.5043, 0.5167], [0.7520, 0.7520, 0.2446], [0.2522, 0.2522, 0.7654]], "e_form_mev_per_atom": -148, "e_above_lowest_polymorph_ev_per_fu": 0.21}



Mass density
In order: 10.00; 6.76; 6.35; 11.59; 15.25; 8.13; 10.44; 6.62; 6.37; 7.34; 5.07; 5.59; 7.97; 7.34
Unit: Mg/m³